# 1
VASP calculation (PBE-GGA) on a geometry-optimized NpIrRhO6 structure.

Results
The uncorrected formation energy comes out at -1.582 eV per atom. The total magnetization comes out at 0.97 μB per formula unit.

CIF file:
```
data_NpIrRhO6
_cell_length_a 5.1734
_cell_length_b 5.1734
_cell_length_c 9.1561
_cell_angle_alpha 90.00
_cell_angle_beta 90.00
_cell_angle_gamma 120.00
_symmetry_space_group_name_H-M 'P -3 1 c'
_symmetry_Int_Tables_number 163
_symmetry_space_group_name_Hall '-P 3 2c'
loop_
_atom_site_label
_atom_site_fract_x
_atom_site_fract_y
_atom_site_fract_z
Np1 0.3333 0.6667 0.2500
Ir1 0.0000 0.0000 0.0000
Rh1 0.3333 0.6667 0.7500
O1 0.0046 0.3292 0.6235
```


# 2
VASP calculation (PBE-GGA) on a geometry-optimized NpSnIrO6 structure.

Results
The uncorrected formation energy comes out at -1.611 eV per atom. The total magnetization comes out at 2.00 μB per formula unit.

CIF file:
```
data_NpSnIrO6
_cell_length_a 5.4487
_cell_length_b 5.4487
_cell_length_c 8.7607
_cell_angle_alpha 90.00
_cell_angle_beta 90.00
_cell_angle_gamma 120.00
_symmetry_space_group_name_H-M 'P -3 1 c'
_symmetry_Int_Tables_number 163
_symmetry_space_group_name_Hall '-P 3 2c'
loop_
_atom_site_label
_atom_site_fract_x
_atom_site_fract_y
_atom_site_fract_z
Np1 0.3333 0.6667 0.2500
Sn1 0.3333 0.6667 0.7500
Ir1 0.0000 0.0000 0.0000
O1 0.0058 0.3293 0.6233
```


# 3
VASP calculation (PBE-GGA) on a geometry-optimized SrNpIrO6 structure.

Results
The uncorrected formation energy comes out at -2.204 eV per atom. The total magnetization comes out at 0.00 μB per formula unit.

CIF file:
```
data_SrNpIrO6
_cell_length_a 5.2241
_cell_length_b 5.2241
_cell_length_c 11.5385
_cell_angle_alpha 90.00
_cell_angle_beta 90.00
_cell_angle_gamma 120.00
_symmetry_space_group_name_H-M 'P -3 1 c'
_symmetry_Int_Tables_number 163
_symmetry_space_group_name_Hall '-P 3 2c'
loop_
_atom_site_label
_atom_site_fract_x
_atom_site_fract_y
_atom_site_fract_z
Sr1 0.0000 0.0000 0.0000
Np1 0.3333 0.6667 0.2500
Ir1 0.3333 0.6667 0.7500
O1 0.0046 0.3562 0.6481
```